Entry 1:
Material: Pr2MnP4Rh3
Method: DFT, PBE
State: optimized geometry

```
Pr2MnP4Rh3
1.0
4.172 0.000 0.000
0.000 4.172 0.000
0.000 0.000 9.523
Pr Mn P Rh
2 1 4 3
direct
0.000 0.500 0.242 Pr
0.500 0.000 0.758 Pr
0.000 0.000 0.500 Mn
0.000 0.000 0.000 P
0.000 0.500 0.624 P
0.500 0.000 0.376 P
0.500 0.500 0.000 P
0.000 0.500 0.884 Rh
0.500 0.000 0.116 Rh
0.500 0.500 0.500 Rh
```

Values from the calculation:
Calculated formation energy = -1.00 eV per atom
Raw total energy = -7.247 eV/atom
Total moment = 0.0 μB per formula unit

---

Entry 2:
Material: Tb6MgAl3
Method: DFT, PBE
State: optimized geometry

```
Tb6MgAl3
1.0
9.278 0.000 0.000
0.000 5.168 0.000
-3.482 0.000 10.849
Tb Mg Al
12 2 6
direct
0.045 0.250 0.413 Tb
0.153 0.750 0.180 Tb
0.233 0.250 0.999 Tb
0.325 0.750 0.791 Tb
0.373 0.250 0.342 Tb
0.397 0.250 0.621 Tb
0.603 0.750 0.379 Tb
0.627 0.750 0.658 Tb
0.675 0.250 0.209 Tb
0.767 0.750 0.001 Tb
0.847 0.250 0.820 Tb
0.955 0.750 0.587 Tb
0.460 0.750 0.089 Mg
0.540 0.250 0.911 Mg
0.039 0.750 0.881 Al
0.121 0.250 0.715 Al
0.273 0.750 0.473 Al
0.727 0.250 0.527 Al
0.879 0.750 0.285 Al
0.961 0.250 0.119 Al
```

Values from the calculation:
Calculated formation energy = -0.23 eV per atom
Raw total energy = -4.293 eV/atom
Total moment = 0.0 μB per formula unit

---

Entry 3:
Material: GdDyMgCo
Method: DFT, PBE
State: optimized geometry

```
GdDyMgCo
1.0
0.000 3.569 3.569
3.569 0.000 3.569
3.569 3.569 0.000
Gd Dy Mg Co
1 1 1 1
direct
0.000 0.000 0.000 Gd
0.500 0.500 0.500 Dy
0.750 0.750 0.750 Mg
0.250 0.250 0.250 Co
```

Values from the calculation:
Calculated formation energy = 0.00 eV per atom
Raw total energy = -6.849 eV/atom
Total moment = 6.7 μB per formula unit